A plane-wave DFT calculation with PBE was carried out for a relaxed Ac2PmSm9 crystal.

a = 5.2123 Å, b = 5.2123 Å, c = 15.6531 Å
α = 90.00°, β = 90.00°, γ = 90.00°
With the nearest neighbours (Å) after each atom.
Element x y z (fractional)
Ac 0.0000 0.0000 0.1685  12 Sm 3.69-3.72
Ac 0.0000 0.0000 0.8315  12 Sm 3.69-3.72
Pm 0.0000 0.0000 0.5000  12 Sm 3.63-3.69
Sm 0.0000 0.5000 0.0000  8 Sm 3.69-3.72, 4 Ac 3.71
Sm 0.0000 0.5000 0.3385  8 Sm 3.63-3.72, 2 Pm 3.63, 2 Ac 3.72
Sm 0.0000 0.5000 0.6615  2 Pm 3.63, 8 Sm 3.63-3.72, 2 Ac 3.72
Sm 0.5000 0.0000 0.0000  8 Sm 3.69-3.72, 4 Ac 3.71
Sm 0.5000 0.0000 0.3385  8 Sm 3.63-3.72, 2 Pm 3.63, 2 Ac 3.72
Sm 0.5000 0.0000 0.6615  2 Pm 3.63, 8 Sm 3.63-3.72, 2 Ac 3.72
Sm 0.5000 0.5000 0.1691  4 Ac 3.69, 8 Sm 3.72
Sm 0.5000 0.5000 0.5000  8 Sm 3.63, 4 Pm 3.69
Sm 0.5000 0.5000 0.8309  4 Ac 3.69, 8 Sm 3.72

Summary:
- Energy of formation: 0.03 eV per atom
- E: -0.1687 hartree per atom
- Fermi-level density of states: 20.0 states/eV per cell